(1)
Nd2H16S3O20 (SCAN, PBEsol geometry); DFT total energy = -725.67 eV per cell
1.0
-6.257 1.097 -2.541
2.545 -7.067 -0.107
-6.584 1.323 16.787
O H Nd S
40 32 4 6
Direct
0.063 0.062 0.691
0.289 0.084 0.936
0.668 0.033 0.853
0.001 0.938 0.809
0.390 0.414 0.396
0.471 0.742 0.481
0.778 0.528 0.299
0.900 0.494 0.572
0.407 0.506 0.928
0.750 0.528 0.799
0.529 0.258 0.519
0.691 0.318 0.154
0.809 0.176 0.287
0.593 0.494 0.072
0.332 0.967 0.147
0.999 0.062 0.191
0.635 0.967 0.647
0.729 0.258 0.019
0.837 0.702 0.461
0.024 0.414 0.896
0.365 0.033 0.353
0.136 0.298 0.039
0.373 0.682 0.346
0.100 0.506 0.428
0.976 0.586 0.104
0.937 0.938 0.309
0.250 0.472 0.201
0.163 0.298 0.539
0.368 0.176 0.787
0.271 0.742 0.981
0.627 0.318 0.654
0.206 0.916 0.564
0.711 0.916 0.064
0.864 0.702 0.961
0.222 0.472 0.701
0.794 0.084 0.436
0.191 0.824 0.713
0.610 0.586 0.604
0.632 0.824 0.213
0.309 0.682 0.846
0.988 0.269 0.016
0.012 0.731 0.984
0.698 0.458 0.744
0.203 0.985 0.164
0.846 0.015 0.393
0.147 0.325 0.197
0.026 0.223 0.502
0.974 0.777 0.498
0.782 0.985 0.664
0.169 0.015 0.893
0.197 0.223 0.002
0.462 0.107 0.153
0.280 0.269 0.516
0.853 0.675 0.803
0.803 0.777 0.998
0.673 0.971 0.455
0.355 0.893 0.347
0.720 0.731 0.484
0.240 0.542 0.756
0.302 0.542 0.256
0.327 0.029 0.545
0.645 0.107 0.653
0.703 0.029 0.045
0.831 0.985 0.107
0.538 0.893 0.847
0.297 0.971 0.955
0.760 0.458 0.244
0.178 0.325 0.697
0.218 0.015 0.336
0.797 0.015 0.836
0.822 0.675 0.303
0.154 0.985 0.607
0.639 0.344 0.896
0.361 0.656 0.104
0.295 0.656 0.604
0.705 0.344 0.396
0.252 0.582 0.911
0.843 0.000 0.250
0.157 0.000 0.750
0.748 0.418 0.089
0.331 0.582 0.411
0.669 0.418 0.589

(2)
SrLiRu (SCAN, PBEsol geometry); formation energy from the elements = 2.39 eV per formula unit
1.0
3.292 0.000 0.000
-1.646 2.851 0.000
0.000 0.000 7.079
Li Ru Sr
1 1 1
Direct
0.000 0.000 0.928
0.333 0.667 0.683
0.667 0.333 0.390

(3)
Tl2Te (SCAN, PBEsol geometry); DFT total energy = -182.59 eV per cell
1.0
3.969 0.000 0.000
0.000 3.969 0.000
-1.984 -1.984 5.867
Tl Te
2 1
Direct
0.348 0.348 0.696
0.652 0.652 0.304
0.000 0.000 0.000

(4)
TcSbIr2 (SCAN, PBEsol geometry); DFT total energy = -213.97 eV per cell
1.0
3.940 0.000 0.000
0.000 3.940 0.000
-1.970 -1.970 3.935
Ir Sb Tc
2 1 1
Direct
0.250 0.750 0.500
0.750 0.250 0.500
0.000 0.000 0.000
0.500 0.500 0.000

(5)
SnTe2ICl (SCAN, PBEsol geometry); DFT total energy = -152.99 eV per cell
1.0
5.643 0.000 0.000
0.000 5.643 0.000
0.000 0.000 5.718
Te Cl Sn I
2 1 1 1
Direct
0.000 0.500 0.000
0.500 0.000 0.000
0.500 0.500 0.500
0.000 0.000 0.000
0.000 0.000 0.500

(6)
Sr3Tm2Ge3O12 (SCAN, PBEsol geometry); DFT total energy = -1445.95 eV per cell
1.0
11.254 0.000 0.000
-3.751 10.610 0.000
-3.751 -5.305 9.189
O Sr Ge Tm
48 12 12 8
Direct
0.118 0.910 0.106
0.606 0.118 0.410
0.106 0.696 0.487
0.882 0.792 0.487
0.804 0.410 0.292
0.487 0.292 0.882
0.894 0.590 0.882
0.696 0.987 0.606
0.618 0.106 0.910
0.196 0.606 0.987
0.410 0.792 0.304
0.987 0.106 0.196
0.910 0.606 0.618
0.606 0.487 0.696
0.304 0.292 0.410
0.590 0.382 0.394
0.792 0.804 0.910
0.513 0.804 0.894
0.208 0.013 0.618
0.118 0.208 0.513
0.708 0.090 0.196
0.394 0.513 0.304
0.618 0.513 0.208
0.382 0.487 0.792
0.292 0.382 0.987
0.394 0.882 0.590
0.208 0.196 0.090
0.090 0.394 0.382
0.090 0.696 0.208
0.382 0.894 0.090
0.792 0.987 0.382
0.106 0.410 0.118
0.196 0.590 0.708
0.590 0.208 0.696
0.304 0.013 0.394
0.410 0.618 0.606
0.696 0.708 0.590
0.708 0.618 0.013
0.882 0.090 0.894
0.487 0.196 0.106
0.292 0.910 0.804
0.894 0.304 0.513
0.804 0.394 0.013
0.013 0.118 0.708
0.013 0.894 0.804
0.910 0.304 0.792
0.513 0.708 0.118
0.987 0.882 0.292
0.125 0.750 0.875
0.750 0.875 0.125
0.375 0.250 0.625
0.375 0.125 0.250
0.625 0.875 0.750
0.875 0.250 0.125
0.750 0.375 0.625
0.875 0.625 0.250
0.250 0.625 0.375
0.250 0.125 0.875
0.625 0.750 0.375
0.125 0.375 0.750
0.750 0.625 0.875
0.125 0.875 0.250
0.125 0.250 0.375
0.250 0.875 0.625
0.375 0.625 0.750
0.625 0.375 0.250
0.250 0.375 0.125
0.750 0.125 0.375
0.375 0.750 0.125
0.875 0.750 0.625
0.875 0.125 0.750
0.625 0.250 0.875
0.500 0.000 0.500
0.500 0.000 0.000
0.500 0.500 0.000
0.000 0.000 0.500
0.000 0.500 0.000
0.500 0.500 0.500
0.000 0.000 0.000
0.000 0.500 0.500

(7)
Sc2AgH2 (SCAN, PBEsol geometry); DFT total energy = -69.81 eV per cell
1.0
3.369 0.000 0.000
0.000 3.369 0.000
-1.684 -1.684 5.671
Ag H Sc
1 2 2
Direct
0.000 0.000 0.000
0.750 0.250 0.500
0.250 0.750 0.500
0.651 0.651 0.303
0.349 0.349 0.697

(8)
Tl2Si2I (SCAN, PBEsol geometry); DFT total energy = -199.39 eV per cell
1.0
-2.767 2.078 3.785
-2.510 -4.432 0.598
5.984 -0.280 1.054
Si Tl I
2 2 1
Direct
0.619 0.619 0.238
0.381 0.381 0.762
0.250 0.750 0.500
0.750 0.250 0.500
0.000 0.000 0.000

(9)
Sc2InMo (SCAN, PBEsol geometry); formation energy from the elements = 0.00 eV per formula unit
1.0
-0.652 -1.070 -4.597
-4.059 -2.057 -1.415
-3.142 2.467 -2.598
Sc Mo In
2 1 1
Direct
0.750 0.750 0.750
0.000 0.000 0.000
0.250 0.250 0.250
0.500 0.500 0.500

(10)
SrCuPb2 (SCAN, PBEsol geometry); formation energy from the elements = -1.14 eV per formula unit
1.0
-3.077 1.618 -2.888
-4.147 -1.792 -0.121
-4.256 3.932 3.200
Pb Sr Cu
2 1 1
Direct
0.780 0.780 0.661
0.220 0.220 0.339
0.000 0.000 0.000
0.500 0.500 0.500

(11)
InTe2PdN (SCAN, PBEsol geometry); DFT total energy = -147.66 eV per cell
1.0
-1.375 -2.803 -1.875
-2.106 -2.130 4.728
-4.735 2.869 -0.817
N Pd Te In
1 1 2 1
Direct
0.500 0.000 0.000
0.000 0.000 0.000
0.000 0.000 0.500
0.000 0.500 0.000
0.500 0.500 0.500

(12)
Sb3PdAu (SCAN, PBEsol geometry); DFT total energy = -209.53 eV per cell
1.0
-1.621 3.367 -3.676
-4.632 0.412 2.420
1.844 3.997 2.848
Sb Pd Au
3 1 1
Direct
0.000 0.000 0.500
0.000 0.500 0.000
0.500 0.000 0.000
0.500 0.500 0.500
0.000 0.000 0.000

(13)
BeAl2Sb (SCAN, PBEsol geometry); DFT total energy = -55.71 eV per cell
1.0
-0.610 1.815 -2.378
-0.769 -2.441 -1.666
-7.027 0.647 2.296
Sb Al Be
1 2 1
Direct
0.500 0.500 0.716
0.500 0.500 0.283
0.000 0.000 0.036
0.000 0.000 0.465

(14)
CaMg3Cu2 (SCAN, PBEsol geometry); formation energy from the elements = -0.68 eV per formula unit
1.0
-4.945 -0.844 -1.993
-1.578 -3.465 5.382
-2.054 5.651 2.704
Cu Mg Ca
4 6 2
Direct
0.500 0.239 0.761
0.000 0.761 0.239
0.000 0.239 0.761
0.500 0.761 0.239
0.250 0.050 0.050
0.250 0.918 0.574
0.750 0.082 0.426
0.250 0.574 0.918
0.750 0.426 0.082
0.750 0.950 0.950
0.250 0.395 0.395
0.750 0.605 0.605

(15)
TePb2Se (SCAN, PBEsol geometry); DFT total energy = -210.53 eV per cell
1.0
-0.038 0.293 -4.327
-4.578 -0.518 0.005
-0.635 5.832 2.574
Te Se Pb
1 1 2
Direct
0.748 0.138 0.496
0.492 0.641 0.984
0.259 0.627 0.519
0.001 0.095 0.001

(16)
Ir2W (SCAN, PBEsol geometry); formation energy from the elements = -1.05 eV per formula unit
1.0
4.348 0.000 0.000
0.000 4.791 -0.002
0.000 2.360 4.169
W Ir
2 4
Direct
0.750 0.172 0.828
0.250 0.828 0.172
0.750 0.833 0.506
0.750 0.494 0.167
0.250 0.506 0.833
0.250 0.167 0.494

(17)
Na3HfCd (SCAN, PBEsol geometry); formation energy from the elements = 5.20 eV per formula unit
1.0
5.430 0.000 0.000
0.000 5.430 0.000
0.000 0.000 5.430
Hf Cd Na
1 1 3
Direct
0.500 0.500 0.500
0.000 0.000 0.000
0.500 0.000 0.000
0.000 0.500 0.000
0.000 0.000 0.500

(18)
TbNdCo4 (SCAN, PBEsol geometry); formation energy from the elements = -0.18 eV per formula unit
1.0
5.007 0.000 0.000
2.504 4.337 0.000
2.504 1.446 4.089
Nd Co Tb
1 4 1
Direct
0.500 0.500 0.500
0.374 0.875 0.875
0.875 0.875 0.374
0.875 0.875 0.875
0.875 0.374 0.875
0.250 0.250 0.250

(19)
Sm2CdCu2 (SCAN, PBEsol geometry); formation energy from the elements = -1.64 eV per formula unit
1.0
-0.010 3.179 1.925
-1.997 -3.767 6.210
7.263 -1.018 1.718
Sm Cu Cd
4 4 2
Direct
0.500 0.325 0.825
0.500 0.675 0.175
0.500 0.825 0.675
0.500 0.175 0.325
0.000 0.381 0.119
0.000 0.881 0.381
0.000 0.619 0.881
0.000 0.119 0.619
0.000 0.500 0.500
0.000 0.000 0.000

(20)
KZr2As (SCAN, PBEsol geometry); formation energy from the elements = -0.11 eV per formula unit
1.0
-1.269 -3.206 -0.096
3.442 0.386 3.568
-6.481 2.472 3.129
Zr K As
2 1 1
Direct
0.980 0.960 0.900
0.222 0.444 0.701
0.808 0.616 0.270
0.490 0.980 0.629